## MnBNO2 (PBE with a Hubbard U)

Data for an optimized crystal structure of MnBNO2.

Values from the calculation:
* total DFT energy (no corrections): -27.52 eV per cell

Geometry as POSCAR:
```
MnBNO2
1.0
3.770 0.000 0.000
0.000 3.770 0.000
0.000 0.000 3.819
B Mn O N
1 1 2 1
Direct
0.500 0.500 0.500
0.000 0.000 0.000
0.000 0.500 0.000
0.500 0.000 0.000
0.000 0.000 0.500
```


## SrLi2WO4 (PBE with a Hubbard U)

Data for an optimized crystal structure of SrLi2WO4.

Values from the calculation:
* total DFT energy (no corrections): -48.46 eV per cell

Geometry as POSCAR:
```
SrLi2WO4
1.0
-3.735 -0.342 -3.665
2.375 -4.566 1.002
-1.830 1.301 4.739
Sr Li W O
1 2 1 4
Direct
0.000 0.000 0.000
0.500 0.750 0.250
0.500 0.250 0.750
0.000 0.500 0.500
0.000 0.165 0.603
0.562 0.397 0.397
0.438 0.835 0.835
0.000 0.603 0.165
```